Entry 1:
The following is a DFT calculation (PBE) of a relaxed KTaW2 crystal.

Results
- Space group: Cmmm (65)
- Formation energy from the elements: 1.468 eV/atom

```
KTaW2
1.0
5.7758 -0.0012 0.0000
-2.9675 4.9552 0.0000
0.0000 0.0000 2.6736
K Ta W
1 1 2
Direct
0.5000 0.0000 0.5000 K
0.0000 0.5000 0.5000 Ta
0.0000 0.0000 0.0000 W
0.5000 0.5000 0.0000 W
```

***

Entry 2:
The following is a DFT calculation (PBE) of a relaxed La6FePd2I3 crystal.

Results
- Space group: C2/m (12)
- Uncorrected formation energy: -844 meV/atom

```
La6FePd2I3
1.0
7.3837 -0.0015 0.0011
-3.6914 6.3947 0.0011
-1.2306 -2.1308 8.2374
La Fe Pd I
6 1 2 3
Direct
0.9378 0.6272 0.8133 La
0.7517 0.7517 0.1873 La
0.0622 0.3728 0.1867 La
0.6272 0.9378 0.8133 La
0.2483 0.2483 0.8127 La
0.3728 0.0622 0.1867 La
0.0000 0.0000 0.0000 Fe
0.3333 0.6667 0.0000 Pd
0.6667 0.3333 0.0000 Pd
0.1667 0.8333 0.5000 I
0.8333 0.1667 0.5000 I
0.5000 0.5000 0.5000 I
```